No. 1
Crystalline Na2MgRe at its relaxed geometry, computed with PBE-GGA.

Computed properties:
- ΔE to the lowest computed polymorph: 105 meV/atom
- Magnetization: 5.7 μB/cell
- Final energy: -2.829 eV per atom
- Theoretical density: 4.38 g/cm³
- Space group: I-42d

```
Na2MgRe
1.0
8.3181 0.0000 0.0000
0.0000 8.3181 0.0000
4.1590 4.1590 2.8124
Re Na Mg
2 4 2
Cartesian
0.0000 0.0000 0.0000
8.3181 4.1590 1.4062
2.0616 6.2385 0.7031
6.2565 2.0795 0.7031
10.3976 10.4155 2.1093
6.2385 6.2206 2.1093
4.1590 4.1590 0.0000
4.1590 8.3181 1.4062
```

***

No. 2
Crystalline Na3MgRe at its relaxed geometry, computed with PBE-GGA.

Computed properties:
- ΔE to the lowest computed polymorph: 143 meV/atom
- Magnetization: 4.2 μB/cell
- Final energy: -1.996 eV per atom
- Theoretical density: 2.57 g/cm³
- Space group: Pm-3m

```
Na3MgRe
1.0
-0.2060 -2.6897 -4.9657
1.0211 -4.9048 2.6144
-5.5543 -0.8020 0.6648
Na Re Mg
3 1 1
Cartesian
-0.1030 -1.3448 -2.4828
-2.7771 -0.4010 0.3324
0.5106 -2.4524 1.3072
-2.3696 -4.1982 -0.8433
0.0000 0.0000 0.0000
```

***

No. 3
Crystalline Na2Mg2Re at its relaxed geometry, computed with PBE-GGA.

Computed properties:
- ΔE to the lowest computed polymorph: 64 meV/atom
- Magnetization: 0.5 μB/cell
- Final energy: -2.693 eV per atom
- Theoretical density: 4.63 g/cm³
- Space group: P4/mbm

```
Na2Mg2Re
1.0
8.4119 0.0000 0.0000
0.0000 8.4119 0.0000
0.0000 0.0000 2.8494
Mg Re Na
4 2 4
Cartesian
5.3444 1.1384 0.0000
3.0676 7.2735 0.0000
1.1384 3.0676 0.0000
7.2735 5.3444 0.0000
4.2060 4.2060 0.0000
0.0000 0.0000 0.0000
7.0016 2.7956 1.4247
2.7956 1.4104 1.4247
1.4104 5.6163 1.4247
5.6163 7.0016 1.4247
```

***

No. 4
Crystalline NaMg2Re at its relaxed geometry, computed with PBE-GGA.

Computed properties:
- ΔE to the lowest computed polymorph: 0 meV/atom
- Magnetization: 1.7 μB/cell
- Final energy: -3.520 eV per atom
- Theoretical density: 5.54 g/cm³
- Space group: Fm-3m

```
NaMg2Re
1.0
2.0805 -4.2849 0.4261
-1.4794 -3.0518 3.3718
-2.3916 -3.9528 -1.2355
Re Mg Na
1 2 1
Cartesian
-0.8952 -5.6447 1.2812
-0.4476 -2.8224 0.6406
-1.3428 -8.4671 1.9217
0.0000 0.0000 0.0000
```

***

No. 5
Crystalline Na2Mg2Re at its relaxed geometry, computed with PBE-GGA.

Computed properties:
- ΔE to the lowest computed polymorph: 0 meV/atom
- Magnetization: 1.6 μB/cell
- Final energy: -2.756 eV per atom
- Theoretical density: 4.18 g/cm³
- Space group: I4/mmm

```
Na2Mg2Re
1.0
3.6399 0.0000 0.0000
0.0000 3.6399 0.0000
1.8199 1.8199 8.4107
Na Re Mg
2 1 2
Cartesian
1.8199 3.6399 4.2054
3.6399 1.8199 4.2054
0.0000 0.0000 0.0000
1.8199 1.8199 1.3477
3.6399 3.6399 7.0630
```

***

No. 6
Crystalline Na2MgRe at its relaxed geometry, computed with PBE-GGA.

Computed properties:
- ΔE to the lowest computed polymorph: 0 meV/atom
- Magnetization: 2.8 μB/cell
- Final energy: -2.934 eV per atom
- Theoretical density: 4.78 g/cm³
- Space group: Fm-3m

```
Na2MgRe
1.0
0.3426 -3.9446 -3.0749
-0.9903 -4.6064 1.7123
-4.1500 -2.3880 -1.4856
Na Mg Re
2 1 1
Cartesian
-1.1994 -2.7347 -0.7120
-3.5982 -8.2042 -2.1361
0.0000 0.0000 0.0000
-2.3988 -5.4695 -1.4241
```

***

No. 7
Crystalline Na3MgRe at its relaxed geometry, computed with PBE-GGA.

Computed properties:
- ΔE to the lowest computed polymorph: 0 meV/atom
- Magnetization: 3.5 μB/cell
- Final energy: -2.139 eV per atom
- Theoretical density: 2.37 g/cm³
- Space group: Pm-3m

```
Na3MgRe
1.0
-3.4807 2.9231 3.6113
-0.9060 -4.8527 3.0548
4.5569 1.2680 3.3657
Na Mg Re
3 1 1
Cartesian
-1.7403 1.4616 1.8056
-0.4530 -2.4263 1.5274
2.2784 0.6340 1.6829
0.0851 -0.3308 5.0159
0.0000 0.0000 0.0000
```

***

No. 8
Crystalline NaMg3Re at its relaxed geometry, computed with PBE-GGA.

Computed properties:
- ΔE to the lowest computed polymorph: 0 meV/atom
- Magnetization: 0.8 μB/cell
- Final energy: -2.940 eV per atom
- Theoretical density: 3.36 g/cm³
- Space group: Pm-3m

```
NaMg3Re
1.0
-3.2589 -3.8981 -1.0478
2.7068 -3.1095 3.1492
-2.9944 1.4316 3.9872
Na Mg Re
1 3 1
Cartesian
-1.7732 -2.7880 3.0443
1.3534 -1.5547 1.5746
-1.6294 -1.9491 -0.5239
-1.4972 0.7158 1.9936
0.0000 0.0000 0.0000
```